(1)
Material: Zr4RuSe
Method: DFT, PBE
State: relaxed

Structure (extended XYZ):
```
6
Lattice="0.0000 3.9660 3.9660 3.9660 0.0000 3.9660 3.9660 3.9660 0.0000" Properties=species:S:1:pos:R:3 pbc="T T T"
Zr 0.9817 0.9817 0.9817
Zr 2.9844 2.9844 0.9817
Zr 2.9844 0.9817 2.9844
Zr 0.9817 2.9844 2.9844
Ru 5.9491 5.9491 5.9491
Se 3.9660 3.9660 3.9660
```

Total magnetization (Bohr magnetons per cell): 0.000
Energy relative to the elements, uncorrected (eV/atom): 0.44
SG: F-43m, No. 216
Density of states at the Fermi level (states/eV per cell): 8.2

=====

(2)
Material: ZrRu2Se
Method: DFT, PBE
State: relaxed

Structure (extended XYZ):
```
8
Lattice="10.3062 0.0000 0.0000 0.0000 3.0606 0.0000 -2.0133 0.0000 4.0953" Properties=species:S:1:pos:R:3 pbc="T T T"
Zr 0.0000 0.0000 0.0000
Zr 5.1531 1.5303 0.0000
Ru 0.8564 0.0000 2.9692
Ru 2.2834 1.5303 1.1261
Ru 6.0095 1.5303 2.9692
Ru 7.4365 0.0000 1.1261
Se -1.0067 1.5303 2.0476
Se 4.1464 0.0000 2.0476
```

Total magnetization (Bohr magnetons per cell): 0.000
Energy relative to the elements, uncorrected (eV/atom): -0.24
SG: C2/m, No. 12
Density of states at the Fermi level (states/eV per cell): 8.2

=====

(3)
Material: ZrRu2Se
Method: DFT, PBE
State: relaxed

Structure (extended XYZ):
```
4
Lattice="3.1239 0.0000 0.0000 0.0000 4.1787 0.0000 -1.4080 0.0000 5.1331" Properties=species:S:1:pos:R:3 pbc="T T T"
Zr 0.0000 0.0000 0.0000
Ru 0.1212 2.0893 3.7574
Ru 1.5947 2.0893 1.3757
Se 0.8579 0.0000 2.5665
```

Total magnetization (Bohr magnetons per cell): 0.000
Energy relative to the elements, uncorrected (eV/atom): -0.13
SG: P2/m, No. 10
Density of states at the Fermi level (states/eV per cell): 4.2